Record 1
DFT (PBE) results for a relaxed structure of HfHgS2O8.

```
HfHgS2O8
1.0
-1.046 3.854 3.530
-3.083 -0.574 -4.310
-5.875 -6.200 5.028
S O Hf Hg
2 8 1 1
Cartesian
-7.235 -4.197 2.438 S
-2.768 1.276 1.810 S
-2.111 2.313 2.687 O
-6.394 -3.310 1.719 O
-3.500 2.054 0.745 O
-7.893 -5.233 1.562 O
-1.639 0.576 1.096 O
-3.609 0.389 2.530 O
-8.364 -3.497 3.152 O
-6.504 -4.975 3.504 O
0.000 0.000 0.000 Hf
-2.937 -3.100 2.514 Hg
```

Values from the calculation:
The calculation puts the spin magnetization at 0.0 Bohr magnetons per cell. For the total energy, the calculation gives -0.4837 Ry/atom. The value obtained for the density of states at the Fermi level is 0.000 states/eV/atom.

***

Record 2
DFT (PBE) results for a relaxed structure of Ce6Tl5Sb.

```
Ce6Tl5Sb
1.0
4.830 -0.003 -1.353
-3.476 7.861 -3.136
-0.039 -0.184 9.148
Ce Tl Sb
6 5 1
Cartesian
2.728 1.828 0.434 Ce
-1.413 5.846 4.224 Ce
-0.237 3.175 -0.859 Ce
1.552 4.499 5.517 Ce
0.436 7.110 1.530 Ce
0.878 0.563 3.128 Ce
-0.443 6.412 -1.602 Tl
0.657 3.837 2.329 Tl
1.757 1.262 6.260 Tl
3.635 2.516 3.667 Tl
-2.321 5.158 0.992 Tl
0.000 0.000 0.000 Sb
```

Values from the calculation:
The calculation puts the spin magnetization at 7.7 Bohr magnetons per cell. For the total energy, the calculation gives -0.3411 Ry/atom. The value obtained for the density of states at the Fermi level is 3.219 states/eV/atom.

***

Record 3
DFT (PBE) results for a relaxed structure of Hg2PdI.

```
Hg2PdI
1.0
-0.716 2.787 1.836
-2.089 -0.219 2.690
7.759 -1.247 8.090
Hg Pd I
2 1 1
Cartesian
-0.736 2.068 6.092 Hg
5.690 -0.746 6.524 Hg
0.000 0.000 0.000 Pd
2.477 0.661 6.308 I
```

Values from the calculation:
The calculation puts the spin magnetization at 0.0 Bohr magnetons per cell. For the energy above the lowest structure with this stoichiometry, the calculation gives 235.1 meV/atom. The value obtained for the density of states at the Fermi level is 0.698 states/eV/atom.

***

Record 4
DFT (PBE) results for a relaxed structure of Ac3Er2Mg2Tl4.

```
Ac3Er2Mg2Tl4
1.0
5.160 0.000 0.000
-2.580 4.468 0.000
0.000 0.000 15.784
Tl Ac Mg Er
4 3 2 2
Cartesian
0.000 2.979 5.842 Tl
2.580 1.489 9.942 Tl
0.000 2.979 13.814 Tl
2.580 1.489 1.970 Tl
0.000 0.000 0.000 Ac
0.000 0.000 4.146 Ac
0.000 0.000 11.638 Ac
2.580 1.489 13.707 Mg
0.000 2.979 2.077 Mg
2.580 1.489 6.833 Er
0.000 2.979 8.951 Er
```

Values from the calculation:
As for the formation energy: -0.2053 eV/atom. The calculation puts the spin magnetization at 0.0 Bohr magnetons per cell. The value obtained for the density of states at the Fermi level is 0.967 states/eV/atom.

***

Record 5
DFT (PBE) results for a relaxed structure of Cs3HfSc2S6.

```
Cs3HfSc2S6
1.0
-2.570 3.517 5.068
5.021 -4.270 1.103
4.468 6.106 -3.440
Hf S Cs Sc
1 6 3 2
Cartesian
0.000 0.000 0.000 Hf
0.084 2.177 1.418 S
4.343 4.832 -1.177 S
2.570 -0.373 0.119 S
2.576 0.521 3.908 S
4.349 5.726 2.612 S
6.835 3.176 1.314 S
5.983 0.087 0.047 Cs
0.936 5.266 2.684 Cs
3.459 2.677 1.366 Cs
-0.040 0.921 3.746 Sc
2.490 -1.674 2.425 Sc
```

Values from the calculation:
The calculation puts the spin magnetization at 0.0 Bohr magnetons per cell. For the total energy, the calculation gives -0.4228 Ry/atom. The value obtained for the density of states at the Fermi level is 0.284 states/eV/atom.

***

Record 6
DFT (PBE) results for a relaxed structure of NaReNi.

```
NaReNi
1.0
-2.569 0.647 -0.652
-0.838 -0.861 2.449
1.835 12.264 4.939
Ni Na Re
2 2 2
Cartesian
1.043 9.344 5.161 Ni
-0.912 2.812 0.676 Ni
0.268 4.163 3.074 Na
-0.137 7.994 2.763 Na
-0.272 0.556 1.622 Re
0.403 11.601 4.216 Re
```

Values from the calculation:
As for the formation energy: 0.2453 eV/atom. The calculation puts the spin magnetization at 0.0 Bohr magnetons per cell. For the energy above the lowest structure with this stoichiometry, the calculation gives 0.0 meV/atom. The value obtained for the density of states at the Fermi level is 0.729 states/eV/atom.